{"formula": "Ti2TlInP", "functional": "PBE", "state": "relaxed", "delta_e_f_ev_per_atom": 1.222, "magnetic_moment_mub_per_cell": 0.00, "cell": [[5.167, 0.000, 0.000], [0.000, 5.045, 0.000], [0.000, 0.000, 5.167]], "species": ["Ti", "In", "Ti", "P", "Tl"], "frac_coords": [[0.500, 0.000, 0.000], [0.500, 0.500, 0.500], [0.000, 0.000, 0.500], [0.000, 0.500, 0.000], [0.000, 0.000, 0.000]]}